A geometry-optimized RbV2MoO8 structure, computed with GGA+U. Values from VASP.

Cell and atoms, written as Quantum ESPRESSO input:
```
&SYSTEM
  ibrav = 0, nat = 12, ntyp = 4
/
ATOMIC_SPECIES
Rb 85.47 Rb.upf
V 50.94 V.upf
Mo 95.94 Mo.upf
O 16.00 O.upf
ATOMIC_POSITIONS crystal
Rb 0.000 0.000 0.000
V 0.333 0.667 0.721
V 0.667 0.333 0.279
Mo 0.000 0.000 0.500
O 0.162 0.324 0.647
O 0.162 0.838 0.647
O 0.324 0.162 0.353
O 0.333 0.667 0.929
O 0.667 0.333 0.071
O 0.676 0.838 0.647
O 0.838 0.162 0.353
O 0.838 0.676 0.353
CELL_PARAMETERS angstrom
5.657 0.000 0.000
-2.828 4.899 0.000
0.000 0.000 7.902
```

space-group type: P-3m1
total energy: -0.259 Ha/atom